[1]
Computed, not measured: CoSbAu2 after structural relaxation at the PBE level of DFT.

Its crystal system is tetragonal. Its density of states at the Fermi level is 4.7 states/eV/f.u. As for the space group: No. 122. The value obtained for the total moment is 0.3665 μB per atom. The value obtained for the energy is -4.17 eV per atom.

a = 7.6375 Å, b = 7.6375 Å, c = 5.2678 Å
α = 90.00°, β = 90.00°, γ = 90.00°
Closest atoms and distances in Å follow each position.
Fractional coordinates of all 16 atoms:
Co 0.0000 0.0000 0.0000  4 Au 2.63, 2 Sb 2.63
Co 0.0000 0.5000 0.2500  4 Au 2.63, 2 Sb 2.63
Co 0.5000 0.0000 0.7500  4 Au 2.63, 2 Sb 2.63
Co 0.5000 0.5000 0.5000  4 Au 2.63, 2 Sb 2.63
Sb 0.0000 0.0000 0.5000  2 Co 2.63, 4 Au 2.94
Sb 0.0000 0.5000 0.7500  2 Co 2.63, 4 Au 2.94
Sb 0.5000 0.0000 0.2500  2 Co 2.63, 4 Au 2.94
Sb 0.5000 0.5000 0.0000  2 Co 2.63, 4 Au 2.94
Au 0.2207 0.2500 0.1250  2 Co 2.63, 2 Au 2.67, 2 Sb 2.94
Au 0.2500 0.7207 0.3750  2 Co 2.63, 2 Au 2.67, 2 Sb 2.94
Au 0.2500 0.7793 0.8750  2 Co 2.63, 2 Au 2.67, 2 Sb 2.94
Au 0.2793 0.2500 0.6250  2 Co 2.63, 2 Au 2.67, 2 Sb 2.94
Au 0.7207 0.7500 0.6250  2 Co 2.63, 2 Au 2.67, 2 Sb 2.94
Au 0.7500 0.2207 0.8750  2 Co 2.63, 2 Au 2.67, 2 Sb 2.94
Au 0.7500 0.2793 0.3750  2 Co 2.63, 2 Au 2.67, 2 Sb 2.94
Au 0.7793 0.7500 0.1250  2 Co 2.63, 2 Au 2.67, 2 Sb 2.94

***

[2]
Computed, not measured: NaV2ZnFe after structural relaxation at the PBE level of DFT.

Its crystal system is tetragonal. Its density of states at the Fermi level is 7.2 states/eV/f.u. As for the space group: No. 123. The value obtained for the total moment is 0.0001 μB per atom. The value obtained for the energy is -3.64 eV per atom.

a = 4.3967 Å, b = 4.3967 Å, c = 4.2789 Å
α = 90.00°, β = 90.00°, γ = 90.00°
Closest atoms and distances in Å follow each position.
Fractional coordinates of all 5 atoms:
Na 0.0000 0.0000 0.0000  2 Fe 2.14, 4 V 2.20
V 0.0000 0.5000 0.0000  2 Na 2.20
V 0.5000 0.0000 0.0000  2 Na 2.20
Zn 0.5000 0.5000 0.5000  8 V 3.07, 4 Fe 3.11
Fe 0.0000 0.0000 0.5000  2 Na 2.14

***

[3]
Computed, not measured: Ni2P after structural relaxation at the PBE level of DFT.

Its crystal system is tetragonal. Its density of states at the Fermi level is 1.9 states/eV/f.u. As for the space group: No. 140. The value obtained for the total moment is 0.0000 μB per atom. The value obtained for the energy is -5.93 eV per atom.

a = 5.1292 Å, b = 5.1292 Å, c = 5.3143 Å
α = 90.00°, β = 90.00°, γ = 90.00°
Closest atoms and distances in Å follow each position.
Fractional coordinates of all 12 atoms:
Ni 0.1843 0.3157 0.0000  4 P 2.30
Ni 0.1843 0.6843 0.5000  4 P 2.30
Ni 0.3157 0.1843 0.5000  4 P 2.30
Ni 0.3157 0.8157 0.0000  4 P 2.30
Ni 0.6843 0.1843 0.0000  4 P 2.30
Ni 0.6843 0.8157 0.5000  4 P 2.30
Ni 0.8157 0.3157 0.5000  4 P 2.30
Ni 0.8157 0.6843 0.0000  4 P 2.30
P 0.0000 0.0000 0.2500  8 Ni 2.30
P 0.0000 0.0000 0.7500  8 Ni 2.30
P 0.5000 0.5000 0.2500  8 Ni 2.30
P 0.5000 0.5000 0.7500  8 Ni 2.30

***

[4]
Computed, not measured: ZrBi3H after structural relaxation at the PBE level of DFT.

Its crystal system is cubic. Its density of states at the Fermi level is 5.6 states/eV/f.u. As for the space group: No. 221. The value obtained for the total moment is 0.0000 μB per atom. The value obtained for the energy is -4.35 eV per atom. The value obtained for the energy relative to the lowest polymorph listed for this composition is 0.000 eV/atom.

a = 4.8954 Å, b = 4.8954 Å, c = 4.8954 Å
α = 90.00°, β = 90.00°, γ = 90.00°
Closest atoms and distances in Å follow each position.
Fractional coordinates of all 5 atoms:
Zr 0.0000 0.0000 0.0000  12 Bi 3.46
Bi 0.0000 0.5000 0.5000  2 H 2.45
Bi 0.5000 0.0000 0.5000  2 H 2.45
Bi 0.5000 0.5000 0.0000  2 H 2.45
H 0.5000 0.5000 0.5000  6 Bi 2.45

***

[5]
Computed, not measured: Zn5NiRh after structural relaxation at the PBE level of DFT.

Its crystal system is monoclinic. Its density of states at the Fermi level is 3.1 states/eV/f.u. As for the space group: No. 15. The value obtained for the total moment is 0.0000 μB per atom. The value obtained for the energy is -2.84 eV per atom.

a = 5.6321 Å, b = 5.6321 Å, c = 6.9156 Å
α = 106.20°, β = 106.20°, γ = 81.11°
Closest atoms and distances in Å follow each position.
Fractional coordinates of all 14 atoms:
Zn 0.0542 0.9458 0.7500  1 Ni 2.50, 6 Zn 2.55-2.77, 2 Rh 2.63
Zn 0.1190 0.3085 0.0750  2 Ni 2.46-2.72, 6 Zn 2.53-2.67, 1 Rh 2.62
Zn 0.3085 0.1190 0.5750  2 Ni 2.46-2.72, 6 Zn 2.53-2.67, 1 Rh 2.62
Zn 0.3080 0.5278 0.8696  5 Zn 2.44-2.63, 2 Ni 2.57-2.68, 1 Rh 2.64
Zn 0.4722 0.6920 0.6304  5 Zn 2.44-2.63, 2 Ni 2.57-2.68, 1 Rh 2.64
Zn 0.5278 0.3080 0.3696  5 Zn 2.44-2.63, 2 Ni 2.57-2.68, 1 Rh 2.64
Zn 0.6920 0.4722 0.1304  5 Zn 2.44-2.63, 2 Ni 2.57-2.68, 1 Rh 2.64
Zn 0.6915 0.8810 0.4250  2 Ni 2.46-2.72, 6 Zn 2.53-2.67, 1 Rh 2.62
Zn 0.8810 0.6915 0.9250  2 Ni 2.46-2.72, 6 Zn 2.53-2.67, 1 Rh 2.62
Zn 0.9458 0.0542 0.2500  1 Ni 2.50, 6 Zn 2.55-2.77, 2 Rh 2.63
Ni 0.2877 0.7123 0.2500  9 Zn 2.46-2.72
Ni 0.7123 0.2877 0.7500  9 Zn 2.46-2.72
Rh 0.0000 0.5000 0.5000  8 Zn 2.62-2.84
Rh 0.5000 0.0000 0.0000  8 Zn 2.62-2.84

***

[6]
Computed, not measured: ZrMnW2 after structural relaxation at the PBE level of DFT.

Its crystal system is tetragonal. Its density of states at the Fermi level is 3.3 states/eV/f.u. As for the space group: No. 122. The value obtained for the total moment is 0.5450 μB per atom. The value obtained for the energy is -10.16 eV per atom. The value obtained for the energy relative to the lowest polymorph listed for this composition is 0.681 eV/atom.

a = 3.7438 Å, b = 3.7438 Å, c = 20.4169 Å
α = 90.00°, β = 90.00°, γ = 90.00°
Closest atoms and distances in Å follow each position.
Fractional coordinates of all 16 atoms:
Zr 0.0000 0.0000 0.0000  4 Mn 2.65, 4 W 2.88
Zr 0.0000 0.5000 0.2500  4 Mn 2.65, 4 W 2.88
Zr 0.5000 0.0000 0.7500  4 Mn 2.65, 4 W 2.88
Zr 0.5000 0.5000 0.5000  4 Mn 2.65, 4 W 2.88
Mn 0.0000 0.0000 0.5000  4 Zr 2.65, 4 W 2.87
Mn 0.0000 0.5000 0.7500  4 Zr 2.65, 4 W 2.87
Mn 0.5000 0.0000 0.2500  4 Zr 2.65, 4 W 2.87
Mn 0.5000 0.5000 0.0000  4 Zr 2.65, 4 W 2.87
W 0.2459 0.7500 0.6250  4 W 2.63-2.67, 2 Mn 2.87, 2 Zr 2.88
W 0.2500 0.2459 0.3750  4 W 2.63-2.67, 2 Mn 2.87, 2 Zr 2.88
W 0.2500 0.2541 0.8750  4 W 2.63-2.67, 2 Mn 2.87, 2 Zr 2.88
W 0.2541 0.7500 0.1250  4 W 2.63-2.67, 2 Mn 2.87, 2 Zr 2.88
W 0.7459 0.2500 0.1250  4 W 2.63-2.67, 2 Mn 2.87, 2 Zr 2.88
W 0.7500 0.7459 0.8750  4 W 2.63-2.67, 2 Mn 2.87, 2 Zr 2.88
W 0.7500 0.7541 0.3750  4 W 2.63-2.67, 2 Mn 2.87, 2 Zr 2.88
W 0.7541 0.2500 0.6250  4 W 2.63-2.67, 2 Mn 2.87, 2 Zr 2.88

***

[7]
Computed, not measured: Th5MgTl5 after structural relaxation at the PBE level of DFT.

Its crystal system is monoclinic. Its density of states at the Fermi level is 12.2 states/eV/f.u. As for the space group: No. 12. The value obtained for the total moment is 0.0000 μB per atom. The value obtained for the energy is -4.49 eV per atom.

a = 9.3919 Å, b = 9.3919 Å, c = 7.1360 Å
α = 112.15°, β = 112.15°, γ = 35.54°
Closest atoms and distances in Å follow each position.
Fractional coordinates of all 11 atoms:
Th 0.0000 0.0000 0.0000  4 Tl 3.22-3.23, 2 Mg 3.57
Th 0.3043 0.3043 0.3033  7 Tl 3.16-3.35
Th 0.3587 0.3587 0.8571  6 Tl 3.49-3.71, 4 Th 3.68-3.69
Th 0.6413 0.6413 0.1429  6 Tl 3.49-3.71, 4 Th 3.68-3.69
Th 0.6957 0.6957 0.6967  7 Tl 3.16-3.35
Mg 0.0000 0.0000 0.5000  6 Tl 2.87-3.00
Tl 0.1545 0.1545 0.4333  1 Mg 2.98, 1 Tl 3.16, 2 Th 3.16-3.23
Tl 0.1547 0.1547 0.8760  1 Mg 3.00, 1 Tl 3.16, 4 Th 3.16-3.34
Tl 0.5000 0.5000 0.5000  2 Mg 2.87
Tl 0.8453 0.8453 0.1240  1 Mg 3.00, 1 Tl 3.16, 4 Th 3.16-3.34
Tl 0.8455 0.8455 0.5667  1 Mg 2.98, 1 Tl 3.16, 2 Th 3.16-3.23

***

[8]
Computed, not measured: Pa2Cu3Ni after structural relaxation at the PBE level of DFT.

Its crystal system is orthorhombic. Its density of states at the Fermi level is 4.0 states/eV/f.u. As for the space group: No. 69. The value obtained for the total moment is 0.0000 μB per atom. The value obtained for the energy is -6.32 eV per atom.

a = 8.6945 Å, b = 8.1514 Å, c = 5.3541 Å
α = 77.08°, β = 66.04°, γ = 36.88°
Closest atoms and distances in Å follow each position.
Fractional coordinates of all 12 atoms:
Pa 0.2318 0.7682 0.7682  1 Pa 2.90, 2 Ni 2.90, 10 Cu 2.92-3.00
Pa 0.2500 0.2500 0.2500  4 Ni 2.95, 8 Cu 2.96-2.97, 2 Pa 3.12
Pa 0.7500 0.7500 0.7500  4 Ni 2.95, 8 Cu 2.96-2.97, 2 Pa 3.12
Pa 0.7682 0.2318 0.2318  1 Pa 2.90, 2 Ni 2.90, 10 Cu 2.92-3.00
Cu 0.1705 0.6633 0.3367  2 Cu 2.47-2.50, 1 Ni 2.54
Cu 0.3347 0.3347 0.6653  2 Cu 2.47, 1 Ni 2.52
Cu 0.3367 0.8295 0.1705  2 Cu 2.47-2.50, 1 Ni 2.54
Cu 0.6633 0.1705 0.8295  2 Cu 2.47-2.50, 1 Ni 2.54
Cu 0.6653 0.6653 0.3347  2 Cu 2.47, 1 Ni 2.52
Cu 0.8295 0.3367 0.6633  2 Cu 2.47-2.50, 1 Ni 2.54
Ni 0.1671 0.1671 0.8329  3 Cu 2.52-2.54
Ni 0.8329 0.8329 0.1671  3 Cu 2.52-2.54

***

Which formula does entry 7 have?
Th5MgTl5

***

Which value of energy does entry 6 give?
-10.16 eV per atom

***

The highest total moment belongs to which entry?
ZrMnW2